BeCoTc PBE relaxed; D(E_F) = 4.36 states/eV/cell; ΔE to the lowest computed polymorph = 138 meV/atom
1.0
-3.516 1.281 1.199
-1.168 -1.834 3.995
0.102 2.849 3.629
Be Co Tc
2 2 2
Cartesian
-3.253 0.699 5.482
-1.329 1.596 3.339
-3.606 1.467 3.287
-0.975 0.829 5.535
-2.476 2.990 5.056
-2.106 -0.695 3.766

BeCoTc PBE relaxed; D(E_F) = 4.94 states/eV/cell; ΔE to the lowest computed polymorph = 158 meV/atom
1.0
-3.465 -1.323 3.144
0.831 -2.719 -3.572
1.394 -1.266 3.352
Tc Co Be
2 2 2
Cartesian
-2.634 -1.508 3.027
-1.144 -3.281 1.744
-0.201 -2.328 -0.493
-0.314 -1.961 4.095
1.565 -2.543 0.897
0.060 -1.254 2.001

Be2CoTc PBE relaxed; D(E_F) = 3.05 states/eV/cell; ΔE to the lowest computed polymorph = 181 meV/atom
1.0
-2.403 1.953 -3.160
-2.594 -1.512 3.249
-0.523 2.119 1.130
Tc Be Co
1 2 1
Cartesian
-1.558 0.304 2.190
0.000 0.000 0.000
-2.498 0.220 0.045
-1.463 2.036 -1.015

Be2CoTc PBE relaxed; D(E_F) = 3.19 states/eV/cell; ΔE to the lowest computed polymorph = 275 meV/atom
1.0
7.625 0.007 0.004
7.181 2.564 0.004
7.181 1.247 2.240
Be Co Tc
2 1 1
Cartesian
21.849 3.794 2.234
11.130 1.933 1.138
5.497 0.954 0.562
16.490 2.863 1.686

BeCoTc4 PBE relaxed; D(E_F) = 5.87 states/eV/cell
1.0
0.000 3.552 3.552
3.552 0.000 3.552
3.552 3.552 0.000
Tc Co Be
4 1 1
Cartesian
4.439 2.666 2.666
2.666 4.439 2.666
4.439 4.439 4.439
2.666 2.666 4.439
0.000 0.000 0.000
1.776 1.776 1.776

Be2CoTc PBE relaxed; D(E_F) = 3.34 states/eV/cell; ΔE to the lowest computed polymorph = 103 meV/atom
1.0
4.597 -0.006 0.000
3.811 2.571 0.000
1.599 0.488 3.456
Be Tc Co
2 1 1
Cartesian
1.716 0.524 3.398
7.459 2.276 2.614
2.521 0.769 0.853
4.912 1.499 1.775

no.,magnetic moment (μB/f.u.),electronic total energy (eV/cell)
1,0.00,-43.0
2,0.38,-42.9
3,1.27,-25.0
4,0.59,-24.6
5,1.81,-48.4
6,0.03,-25.3